Below is crystalline SnHCl3 at its relaxed geometry, with properties calculated at the GGA-PBE level.

```
data_SnHCl3
_chemical_formula_sum 'Sn1 H1 Cl3'
_symmetry_space_group_name_H-M 'P 1'
_symmetry_Int_Tables_number 1
_cell_length_a 4.527
_cell_length_b 4.527
_cell_length_c 4.527
_cell_angle_alpha 90.00
_cell_angle_beta 90.00
_cell_angle_gamma 90.00
loop_
_symmetry_equiv_pos_as_xyz
'x,y,z'
loop_
_atom_site_label
_atom_site_fract_x
_atom_site_fract_y
_atom_site_fract_z
Cl1 0.000 0.500 0.000
Cl2 0.500 0.000 0.000
Cl3 0.000 0.000 0.500
Sn1 0.500 0.500 0.500
H1 0.000 0.000 0.000
```

## Properties
E above lowest polymorph: 0.6625 eV per atom
DOS at the Fermi energy: 0.171 states/eV per atom

***

Below is crystalline Zr2CoRh4 at its relaxed geometry, with properties calculated at the GGA-PBE level.

```
data_Zr2CoRh4
_chemical_formula_sum 'Zr2 Co1 Rh4'
_symmetry_space_group_name_H-M 'P 1'
_symmetry_Int_Tables_number 1
_cell_length_a 4.465
_cell_length_b 4.465
_cell_length_c 7.291
_cell_angle_alpha 72.17
_cell_angle_beta 72.17
_cell_angle_gamma 90.00
loop_
_symmetry_equiv_pos_as_xyz
'x,y,z'
loop_
_atom_site_label
_atom_site_fract_x
_atom_site_fract_y
_atom_site_fract_z
Rh1 0.185 0.185 0.630
Rh2 0.815 0.815 0.370
Rh3 0.500 0.000 0.000
Rh4 0.000 0.500 0.000
Co1 0.000 0.000 0.000
Zr1 0.368 0.368 0.265
Zr2 0.632 0.632 0.735
```

## Properties
energy relative to the elements: 4.2 kcal/mol of atoms
DOS at the Fermi energy: 0.693 states/eV per atom